NaInCo2F8: optimized geometry, PBE+U.

```
data_NaInCo2F8
_chemical_formula_sum 'Na1 In1 Co2 F8'
_symmetry_space_group_name_H-M 'P 1 2/m 1'
_symmetry_Int_Tables_number 10
_cell_length_a 4.9246
_cell_length_b 6.5967
_cell_length_c 4.9461
_cell_angle_alpha 90.00
_cell_angle_beta 90.43
_cell_angle_gamma 90.00
loop_
_symmetry_equiv_pos_as_xyz
'x,y,z'
'-x,-y,-z'
'-x,y,-z'
'x,-y,z'
loop_
_atom_site_label
_atom_site_type_symbol
_atom_site_fract_x
_atom_site_fract_y
_atom_site_fract_z
Na1 Na 0.0000 0.0000 0.0000
In1 In 0.0000 0.5000 0.0000
Co1 Co 0.5000 0.2420 0.5000
F1 F 0.2080 0.2682 0.2039
F2 F 0.3066 0.5000 0.6899
F3 F 0.3178 0.0000 0.6787
```

Output
Total DFT energy (no corrections) in eV per atom: -4.802